1.
# BPtW

A geometry-optimized BPtW structure (GGA-PBE, the Alexandria database).

```
data_BPtW
_cell_length_a 8.619
_cell_length_b 3.110
_cell_length_c 5.788
_cell_angle_alpha 90.00
_cell_angle_beta 90.37
_cell_angle_gamma 90.00
_symmetry_space_group_name_H-M 'C 1 m 1'
_symmetry_Int_Tables_number 8
_symmetry_space_group_name_Hall 'C -2y'
loop_
_atom_site_label
_atom_site_fract_x
_atom_site_fract_y
_atom_site_fract_z
B1 0.000 0.000 0.000
B2 0.017 0.000 0.520
Pt1 0.110 0.500 0.268
Pt2 0.336 0.000 0.023
W1 0.115 0.500 0.768
W2 0.324 0.000 0.520
```

Computed properties:
Energy of formation in eV/atom: -0.130

---

2.
# Mn2OsBr

A geometry-optimized Mn2OsBr structure (GGA-PBE, the Alexandria database).

```
data_Mn2OsBr
_cell_length_a 3.004
_cell_length_b 4.472
_cell_length_c 4.837
_cell_angle_alpha 90.00
_cell_angle_beta 95.04
_cell_angle_gamma 90.00
_symmetry_space_group_name_H-M 'P 1 m 1'
_symmetry_Int_Tables_number 6
_symmetry_space_group_name_Hall 'P -2y'
loop_
_atom_site_label
_atom_site_fract_x
_atom_site_fract_y
_atom_site_fract_z
Mn1 0.000 0.000 0.000
Mn2 0.062 0.500 0.653
Os1 0.513 0.000 0.535
Br1 0.431 0.500 0.185
```

Computed properties:
Formation energy from raw total energies in eV per atom: 0.70

---

3.
# PuAgOs

A geometry-optimized PuAgOs structure (GGA-PBE, the Alexandria database).

```
data_PuAgOs
_cell_length_a 5.084
_cell_length_b 13.295
_cell_length_c 3.107
_cell_angle_alpha 90.00
_cell_angle_beta 90.00
_cell_angle_gamma 90.00
_symmetry_space_group_name_H-M 'C m c m'
_symmetry_Int_Tables_number 63
_symmetry_space_group_name_Hall '-C 2c 2'
loop_
_atom_site_label
_atom_site_fract_x
_atom_site_fract_y
_atom_site_fract_z
Pu1 0.000 0.069 0.250
Ag1 0.000 0.408 0.250
Os1 0.000 0.229 0.750
```

Computed properties:
Energy of formation in eV/atom: 0.459

---

4.
# La3YGa4

A geometry-optimized La3YGa4 structure (GGA-PBE, the Alexandria database).

```
data_La3YGa4
_cell_length_a 3.712
_cell_length_b 3.712
_cell_length_c 14.980
_cell_angle_alpha 90.00
_cell_angle_beta 90.00
_cell_angle_gamma 90.00
_symmetry_space_group_name_H-M 'P 4/m m m'
_symmetry_Int_Tables_number 123
_symmetry_space_group_name_Hall '-P 4 2'
loop_
_atom_site_label
_atom_site_fract_x
_atom_site_fract_y
_atom_site_fract_z
La1 0.000 0.000 0.000
La2 0.000 0.000 0.256
Y1 0.000 0.000 0.500
Ga1 0.500 0.500 0.128
Ga2 0.500 0.500 0.390
```

Computed properties:
Energy of formation in eV/atom: -0.582

---

5.
# KNaIrO3

A geometry-optimized KNaIrO3 structure (GGA-PBE, the Alexandria database).

```
data_KNaIrO3
_cell_length_a 13.588
_cell_length_b 3.862
_cell_length_c 7.088
_cell_angle_alpha 90.00
_cell_angle_beta 104.71
_cell_angle_gamma 90.00
_symmetry_space_group_name_H-M 'C 1 2/m 1'
_symmetry_Int_Tables_number 12
_symmetry_space_group_name_Hall '-C 2y'
loop_
_atom_site_label
_atom_site_fract_x
_atom_site_fract_y
_atom_site_fract_z
K1 0.150 0.000 0.075
Na1 0.173 0.000 0.580
Ir1 0.000 0.500 0.327
O1 0.000 0.000 0.287
O2 0.144 0.500 0.784
O3 0.145 0.500 0.357
```

Computed properties:
Formation energy from raw total energies in eV per atom: -1.12

---

6.
# Nd2Sm2Ir3

A geometry-optimized Nd2Sm2Ir3 structure (GGA-PBE, the Alexandria database).

```
data_Nd2Sm2Ir3
_cell_length_a 8.551
_cell_length_b 4.922
_cell_length_c 8.677
_cell_angle_alpha 90.00
_cell_angle_beta 109.21
_cell_angle_gamma 90.00
_symmetry_space_group_name_H-M 'C 1 2/m 1'
_symmetry_Int_Tables_number 12
_symmetry_space_group_name_Hall '-C 2y'
loop_
_atom_site_label
_atom_site_fract_x
_atom_site_fract_y
_atom_site_fract_z
Nd1 0.125 0.000 0.374
Sm1 0.125 0.500 0.876
Ir1 0.000 0.000 0.000
Ir2 0.249 0.500 0.249
```

Computed properties:
Energy of formation in eV/atom: -0.642